# HRuPb3

A geometry-optimized HRuPb3 structure (PBE-GGA, Alexandria via LeMat-Bulk).

abc: 5.250 5.250 5.250
angles: 90.00 90.00 90.00
Sites, in units of the cell vectors:
Ru 0.000 0.000 0.000
Pb 0.000 0.500 0.000
Pb 0.000 0.000 0.500
H 0.500 0.500 0.500
Pb 0.500 0.000 0.000

The polymorph energy (0 for the lowest one) comes out at 0.000 eV per atom. The space group is Pm-3m (221).